# Sm2AlZnCu6 PBE-GGA relaxed
data_Sm2AlZnCu6
_symmetry_space_group_name_H-M 'P -1'
_symmetry_Int_Tables_number 2
_cell_length_a 5.010
_cell_length_b 6.476
_cell_length_c 6.496
_cell_angle_alpha 81.57
_cell_angle_beta 67.32
_cell_angle_gamma 67.32
loop_
_symmetry_equiv_pos_as_xyz
'x,y,z'
'-x,-y,-z'
loop_
_atom_site_label
_atom_site_type_symbol
_atom_site_fract_x
_atom_site_fract_y
_atom_site_fract_z
Sm1 Sm 0.041 0.208 0.208
Al1 Al 0.500 0.500 0.000
Zn1 Zn 0.500 0.000 0.500
Cu1 Cu 0.001 0.738 0.258
Cu2 Cu 0.328 0.420 0.422
Cu3 Cu 0.497 0.262 0.742
# Energy relative to the elements (meV per atom): -163.1
# DOS(E_F) (states/eV per atom): 0.5350
# VASP energy (eV/atom): -4.066